{
  "formula": "Li2TlHPd",
  "functional": "PBE-GGA",
  "state": "relaxed",
  "lattice": [[3.943, 0.000, 0.000], [0.000, 3.943, 0.000], [0.000, 0.000, 4.709]],
  "species": ["H", "Tl", "Pd", "Li", "Li"],
  "frac_coords": [[0.000, 0.000, 0.000], [0.000, 0.000, 0.500], [0.500, 0.500, 0.500], [0.000, 0.500, 0.000], [0.500, 0.000, 0.000]],
  "space_group": "P4/mmm, No. 123",
  "relative_energy_ev_per_atom": 0.1493
}